## 1
ZnCdSO: relaxed, PBE-GGA.

Cell: 6.824 7.407 12.506 Å, 90.00 90.00 90.00°
Positions (direct):
1 Zn 0.188 0.126 0.202
2 Zn 0.188 0.374 0.702
3 Zn 0.312 0.626 0.202
4 Zn 0.312 0.874 0.702
5 Zn 0.688 0.126 0.298
6 Zn 0.688 0.374 0.798
7 Zn 0.812 0.626 0.298
8 Zn 0.812 0.874 0.798
9 Cd 0.037 0.245 0.436
10 Cd 0.037 0.255 0.936
11 Cd 0.463 0.745 0.436
12 Cd 0.463 0.755 0.936
13 Cd 0.537 0.245 0.064
14 Cd 0.537 0.255 0.564
15 Cd 0.963 0.745 0.064
16 Cd 0.963 0.755 0.564
17 S 0.245 0.030 0.028
18 S 0.245 0.470 0.528
19 S 0.255 0.530 0.028
20 S 0.255 0.970 0.528
21 S 0.745 0.030 0.472
22 S 0.745 0.470 0.972
23 S 0.755 0.530 0.472
24 S 0.755 0.970 0.972
25 O 0.045 0.708 0.235
26 O 0.045 0.792 0.735
27 O 0.455 0.208 0.235
28 O 0.455 0.292 0.735
29 O 0.545 0.708 0.265
30 O 0.545 0.792 0.765
31 O 0.955 0.208 0.265
32 O 0.955 0.292 0.765

## 2
ZnCdSO: relaxed, PBE-GGA.

Cell: 6.729 6.729 5.704 Å, 90.00 90.00 148.47°
Positions (direct):
1 Zn 0.064 0.936 0.500
2 Zn 0.936 0.064 0.000
3 Cd 0.335 0.665 0.438
4 Cd 0.665 0.335 0.938
5 S 0.329 0.671 0.892
6 S 0.671 0.329 0.392
7 O 0.069 0.931 0.847
8 O 0.931 0.069 0.347

Quick one: least stable of them? 1